Compound: NaLaBeF2
Source: Alexandria via LeMat-Bulk
Functional: GGA-PBE
Structure: optimized geometry

a b c (Å): 4.2078 4.2078 5.1575
angles (deg): 90.00 90.00 90.00
Fractional positions:
Na  0.0000  0.0000  0.0000
La  0.5000  0.5000  0.0000
Be  0.0000  0.0000  0.5000
F  0.0000  0.5000  0.5000
F  0.5000  0.0000  0.5000

Formation energy (no corrections) = -72.0 kJ/mol of atoms